[1]
Here is a geometry-optimized ZrReO3 structure from Alexandria via LeMat-Bulk. Energies are from GGA-PBE.

abc: 4.1260 4.1260 4.1260
angles: 90.00 90.00 90.00
Positions (direct):
Zr1 0.0000 0.0000 0.0000
Re1 0.5000 0.5000 0.5000
O1 0.0000 0.0000 0.5000
O2 0.0000 0.5000 0.0000
O3 0.5000 0.0000 0.0000

## Properties
Uncorrected formation energy, eV per atom: -0.987
Calculated total energy, eV per formula unit: -40.80
Density of states at the Fermi level, states/eV/cell: 1.7
Space-group type: Pm-3m (221)

[2]
Here is a geometry-optimized Ac2PuTh structure from Alexandria via LeMat-Bulk. Energies are from GGA-PBE.

abc: 13.1434 13.1434 13.1434
angles: 16.15 16.15 16.15
Positions (direct):
Ac1 0.0894 0.0894 0.0894
Ac2 0.9106 0.9106 0.9106
Pu1 0.0000 0.0000 0.0000
Th1 0.5000 0.5000 0.5000

## Properties
Energy of formation, meV/atom: 363
Calculated total energy, eV per formula unit: -28.52
Density of states at the Fermi level, states/eV/cell: 12.3
Space-group type: R-3m (166)

[3]
Here is a geometry-optimized Li3Mg4Rh2 structure from Alexandria via LeMat-Bulk. Energies are from GGA-PBE.

abc: 4.4989 4.4989 8.4590
angles: 90.00 90.00 120.00
Positions (direct):
Li1 0.0000 0.0000 0.0000
Li2 0.3333 0.6667 0.4541
Li3 0.6667 0.3333 0.5459
Mg1 0.0000 0.0000 0.3163
Mg2 0.0000 0.0000 0.6837
Mg3 0.3333 0.6667 0.1121
Mg4 0.6667 0.3333 0.8879
Rh1 0.3333 0.6667 0.7832
Rh2 0.6667 0.3333 0.2168

## Properties
Energy of formation, meV/atom: -311
Calculated total energy, eV per formula unit: -29.62
Density of states at the Fermi level, states/eV/cell: 3.7
Space-group type: P-3m1 (164)

[4]
Here is a geometry-optimized AgSbTe2Pd structure from Alexandria via LeMat-Bulk. Energies are from GGA-PBE.

abc: 5.4260 5.4260 5.2573
angles: 90.00 90.00 90.00
Positions (direct):
Ag1 0.0000 0.0000 0.0000
Sb1 0.0000 0.0000 0.5000
Te1 0.0000 0.5000 0.0000
Te2 0.5000 0.0000 0.0000
Pd1 0.5000 0.5000 0.5000

## Properties
Polymorph energy (0 for the lowest one), meV/atom: 419
Uncorrected formation energy, eV per atom: 0.825
Calculated total energy, eV per formula unit: -14.33
Density of states at the Fermi level, states/eV/cell: 5.6
Space-group type: P4/mmm (123)

[5]
Here is a geometry-optimized VIrRu2S structure from Alexandria via LeMat-Bulk. Energies are from GGA-PBE.

abc: 4.2564 4.2564 4.2529
angles: 90.00 90.00 90.00
Positions (direct):
V1 0.0000 0.0000 0.0000
Ir1 0.5000 0.5000 0.0000
Ru1 0.0000 0.5000 0.5000
Ru2 0.5000 0.0000 0.5000
S1 0.0000 0.0000 0.5000

## Properties
Uncorrected formation energy, eV per atom: 0.494
Calculated total energy, eV per formula unit: -38.19
Density of states at the Fermi level, states/eV/cell: 8.8
Space-group type: P4/mmm (123)

[6]
Here is a geometry-optimized K4Ac3ErSe8 structure from Alexandria via LeMat-Bulk. Energies are from GGA-PBE.

abc: 9.3022 9.3022 9.3022
angles: 57.64 57.64 57.64
Positions (direct):
K1 0.0000 0.0000 0.0000
K2 0.0000 0.5000 0.5000
K3 0.5000 0.0000 0.5000
K4 0.5000 0.5000 0.0000
Ac1 0.0000 0.0000 0.5000
Ac2 0.0000 0.5000 0.0000
Ac3 0.5000 0.0000 0.0000
Er1 0.5000 0.5000 0.5000
Se1 0.2405 0.2405 0.2405
Se2 0.2558 0.7276 0.7276
Se3 0.2724 0.2724 0.7442
Se4 0.2724 0.7442 0.2724
Se5 0.7276 0.2558 0.7276
Se6 0.7276 0.7276 0.2558
Se7 0.7442 0.2724 0.2724
Se8 0.7595 0.7595 0.7595

## Properties
Uncorrected formation energy, eV per atom: -1.784
Calculated total energy, eV per formula unit: -77.70
Density of states at the Fermi level, states/eV/cell: 0.0
Space-group type: R-3m (166)

[7]
Here is a geometry-optimized Ac4SiBr4 structure from Alexandria via LeMat-Bulk. Energies are from GGA-PBE.

abc: 8.2151 8.2151 8.2151
angles: 124.76 124.76 81.93
Positions (direct):
Ac1 0.0553 0.6447 0.0000
Ac2 0.3553 0.3553 0.4106
Ac3 0.6447 0.0553 0.0000
Ac4 0.9447 0.9447 0.5894
Si1 0.0000 0.0000 0.0000
Br1 0.0000 0.5000 0.5000
Br2 0.3449 0.3449 0.0000
Br3 0.5000 0.0000 0.5000
Br4 0.6551 0.6551 0.0000

## Properties
Uncorrected formation energy, eV per atom: -0.980
Calculated total energy, eV per formula unit: -37.36
Density of states at the Fermi level, states/eV/cell: 6.2
Space-group type: I-42m (121)

[8]
Here is a geometry-optimized VReTc2C structure from Alexandria via LeMat-Bulk. Energies are from GGA-PBE.

abc: 4.6793 4.6793 4.5612
angles: 90.00 90.00 90.00
Positions (direct):
V1 0.0000 0.0000 0.0000
Re1 0.0000 0.0000 0.5000
Tc1 0.0000 0.5000 0.5000
Tc2 0.5000 0.0000 0.5000
C1 0.5000 0.5000 0.0000

## Properties
Energy of formation, meV/atom: 2783
Calculated total energy, eV per formula unit: -37.61
Density of states at the Fermi level, states/eV/cell: 6.6
Space-group type: P4/mmm (123)

[9]
Here is a geometry-optimized Ge4I structure from Alexandria via LeMat-Bulk. Energies are from GGA-PBE.

abc: 5.4557 5.4557 5.4557
angles: 90.00 90.00 90.00
Positions (direct):
Ge1 0.0000 0.0000 0.0000
Ge2 0.0000 0.5000 0.5000
Ge3 0.5000 0.0000 0.5000
Ge4 0.5000 0.5000 0.0000
I1 0.5000 0.5000 0.5000

## Properties
Uncorrected formation energy, eV per atom: 1.273
Calculated total energy, eV per formula unit: -13.65
Density of states at the Fermi level, states/eV/cell: 3.2
Space-group type: Pm-3m (221)

[10]
Here is a geometry-optimized SrPOF2 structure from Alexandria via LeMat-Bulk. Energies are from GGA-PBE.

abc: 4.5555 4.5555 3.7093
angles: 90.00 90.00 90.00
Positions (direct):
Sr1 0.0000 0.0000 0.0000
P1 0.5000 0.5000 0.5000
O1 0.5000 0.5000 0.0000
F1 0.0000 0.5000 0.5000
F2 0.5000 0.0000 0.5000

## Properties
Polymorph energy (0 for the lowest one), meV/atom: 0
Uncorrected formation energy, eV per atom: -1.856
Calculated total energy, eV per formula unit: -25.07
Density of states at the Fermi level, states/eV/cell: 1.9
Space-group type: P4/mmm (123)

[11]
Here is a geometry-optimized Y2Zn2Te structure from Alexandria via LeMat-Bulk. Energies are from GGA-PBE.

abc: 5.7970 5.7970 5.7970
angles: 122.96 122.96 84.95
Positions (direct):
Y1 0.2500 0.7500 0.5000
Y2 0.7500 0.2500 0.5000
Zn1 0.1371 0.1371 0.0000
Zn2 0.8629 0.8629 0.0000
Te1 0.5000 0.5000 0.0000

## Properties
Polymorph energy (0 for the lowest one), meV/atom: 574
Uncorrected formation energy, eV per atom: -0.198
Calculated total energy, eV per formula unit: -19.61
Density of states at the Fermi level, states/eV/cell: 4.5
Space-group type: I4/mmm (139)

[12]
Here is a geometry-optimized LiPaInN3 structure from Alexandria via LeMat-Bulk. Energies are from GGA-PBE.

abc: 6.6230 3.3891 7.6128
angles: 90.00 105.88 90.00
Positions (direct):
Li1 0.1064 0.2500 0.0913
Li2 0.8936 0.7500 0.9087
Pa1 0.2925 0.7500 0.8316
Pa2 0.7075 0.2500 0.1684
In1 0.2945 0.7500 0.3952
In2 0.7055 0.2500 0.6048
N1 0.0055 0.2500 0.8028
N2 0.3630 0.2500 0.6099
N3 0.3726 0.2500 0.0421
N4 0.6274 0.7500 0.9579
N5 0.6370 0.7500 0.3901
N6 0.9945 0.7500 0.1972

## Properties
Uncorrected formation energy, eV per atom: -0.634
Calculated total energy, eV per formula unit: -42.93
Space-group type: P2_1/m (11)